First-principles (PBE) data for a relaxed structure of DyZnAsO, as listed in the Open Quantum Materials Database.

Summary:
Magnetization: 0.0 Bohr magnetons per cell
E_tot: -43.88 eV/cell
ρ: 6.77 g cm⁻³

Cell lengths 4.323, 6.153, 5.880 Å; angles 90.00, 90.00, 90.00 degrees
Fractional positions:
1 As 0.000 0.774 0.412
2 As 0.000 0.226 0.912
3 Dy 0.000 0.245 0.415
4 Dy 0.000 0.755 0.915
5 O 0.500 0.329 0.392
6 O 0.500 0.671 0.892
7 Zn 0.500 0.366 0.035
8 Zn 0.500 0.634 0.535